1.
4
Lattice="-4.010 1.200 -0.138 -0.214 -0.234 4.175 1.792 6.038 0.431" Properties=species:S:1:pos:R:3 comment="CaScPb2 | Alexandria via LeMat-Bulk | SCAN | single point on PBEsol structure" delta_e_f_kj_per_mol_atoms=-34.1 sg=P4mm pbc="T T T"
Ca -0.726 5.152 2.352
Pb 1.766 5.950 0.425
Pb -1.591 2.238 2.144
Sc 0.807 2.720 0.194

2.
4
Lattice="3.454 0.000 0.000 -1.727 2.803 0.000 0.000 0.000 6.726" Properties=species:S:1:pos:R:3 comment="Be2TeP | Alexandria via LeMat-Bulk | SCAN | single point on PBEsol structure" sg=Cmmm relative_energy_mev_per_atom=653 raw_formation_energy_mev_per_atom=460.1 pbc="T T T"
P 1.727 0.000 3.363
Te 1.727 0.000 0.000
Be 0.000 0.000 4.640
Be 0.000 0.000 2.086

3.
4
Lattice="-2.064 -2.706 4.303 -4.157 -3.510 -0.704 0.850 -5.395 0.512" Properties=species:S:1:pos:R:3 comment="KYTl2 | Alexandria via LeMat-Bulk | SCAN | single point on PBEsol structure" delta_e_f_kj_per_mol_atoms=7.1 sg=F-43m relative_energy_mev_per_atom=470 pbc="T T T"
K -2.685 -5.806 2.056
Tl 0.000 0.000 0.000
Tl -4.028 -8.709 3.083
Y -1.343 -2.903 1.028

For reference, spin magnetization by record: 0.00 0.00 0.00 μB/f.u..
For reference, energy by record: -44.2187 -13.6292 -45.1489 eV per atom.